A relaxed structure of AsIr2, computed with PBE-GGA.

Cell lengths 3.877, 5.544, 8.586 Å; angles 90.00, 90.00, 90.00 degrees
Atoms (fractional coordinates):
As 0.250 0.663 0.406
As 0.750 0.837 0.906
As 0.250 0.163 0.094
As 0.750 0.337 0.594
Ir 0.250 0.077 0.804
Ir 0.750 0.423 0.304
Ir 0.250 0.577 0.696
Ir 0.750 0.923 0.196
Ir 0.250 0.093 0.400
Ir 0.750 0.407 0.900
Ir 0.250 0.593 0.100
Ir 0.750 0.907 0.600

Values from the calculation:
Electronic total energy = -88.12 eV per cell
Symmetry = No. 62
Energy relative to the elements = 0.114 eV/atom
Magnetization = 0.00 Bohr magnetons per cell